Computed, not measured: BaMn2P after structural relaxation at the PBE-GGA level of DFT.

abc: 4.391 6.153 7.630
angles: 90.00 90.00 90.00
Space group Imm2 (No. 44)
Asymmetric unit:
Ba 0.000 0.000 0.000
Mn 0.000 0.000 0.433
Mn 0.000 0.500 0.156
P 0.000 0.500 0.845

Computed properties:
Total DFT energy (no corrections) ... -6.135 eV/atom